(1)
The following is a DFT calculation (GGA-PBE) of a relaxed Ho4In2O crystal.

## Properties
DFT total energy = -73.08 eV per cell
ΔE_f (raw) = -1113 meV/atom
E above lowest polymorph = 0 meV per atom

Cell: 6.339 6.809 9.012 Å, 90.00 110.19 90.00°
Space group P2_1/m (No. 11)
One atom of each set of equivalent atoms:
Ho 0.046 0.002 0.282 (multiplicity 4)
Ho 0.359 0.750 0.047 (multiplicity 2)
Ho 0.419 0.750 0.650 (multiplicity 2)
In 0.195 0.250 0.023 (multiplicity 2)
In 0.319 0.250 0.592 (multiplicity 2)
O 0.195 0.750 0.790 (multiplicity 2)



(2)
The following is a DFT calculation (GGA-PBE) of a relaxed CaSm4S7 crystal.

## Properties
DFT total energy = -148.87 eV per cell
ΔE_f (raw) = -2055 meV/atom

Cell: 13.148 3.930 11.830 Å, 90.00 105.10 90.00°
Space group Cm (No. 8)
One atom of each set of equivalent atoms:
Ca 0.000 0.000 0.000 (multiplicity 2)
Sm 0.122 0.000 0.419 (multiplicity 2)
Sm 0.228 0.000 0.847 (multiplicity 2)
Sm 0.316 0.500 0.229 (multiplicity 2)
Sm 0.428 0.000 0.624 (multiplicity 2)
S 0.077 0.000 0.633 (multiplicity 2)
S 0.103 0.500 0.902 (multiplicity 2)
S 0.162 0.000 0.204 (multiplicity 2)
S 0.281 0.500 0.474 (multiplicity 2)
S 0.351 0.500 0.772 (multiplicity 2)
S 0.373 0.000 0.071 (multiplicity 2)
S 0.462 0.000 0.373 (multiplicity 2)



(3)
The following is a DFT calculation (GGA-PBE) of a relaxed BMo2S crystal.

## Properties
DFT total energy = -123.55 eV per cell
ΔE_f (raw) = 395 meV/atom
E above lowest polymorph = 248 meV per atom

Cell: 5.156 5.156 9.905 Å, 90.00 90.00 90.00°
Space group I-42d (No. 122)
One atom of each set of equivalent atoms:
B 0.000 0.000 0.000 (multiplicity 4)
Mo 0.211 0.250 0.125 (multiplicity 8)
S 0.000 0.000 0.500 (multiplicity 4)



(4)
The following is a DFT calculation (GGA-PBE) of a relaxed Ba2PuUSe6 crystal.

## Properties
DFT total energy = -132.59 eV per cell
ΔE_f (raw) = -1592 meV/atom

Cell: 7.471 7.894 13.161 Å, 90.00 124.51 90.00°
Space group P2_1/c (No. 14)
One atom of each set of equivalent atoms:
Ba 0.228 0.072 0.250 (multiplicity 4)
Pu 0.500 0.000 0.000 (multiplicity 2)
U 0.000 0.000 0.500 (multiplicity 2)
Se 0.146 0.206 0.952 (multiplicity 4)
Se 0.253 0.696 0.954 (multiplicity 4)
Se 0.335 0.019 0.746 (multiplicity 4)



(5)
The following is a DFT calculation (GGA-PBE) of a relaxed YTaIn2 crystal.

## Properties
DFT total energy = -95.13 eV per cell
energy of formation from the pure elements = 3 meV per atom

Cell: 6.369 6.385 8.835 Å, 90.00 90.00 90.00°
Space group Fmmm (No. 69)
One atom of each set of equivalent atoms:
Y 0.000 0.000 0.000 (multiplicity 4)
Ta 0.000 0.000 0.500 (multiplicity 4)
In 0.250 0.250 0.250 (multiplicity 8)



(6)
The following is a DFT calculation (GGA-PBE) of a relaxed Tb2NdMg crystal.

## Properties
DFT total energy = -46.70 eV per cell
E above lowest polymorph = 47 meV per atom
energy of formation from the pure elements = 14 meV per atom

Cell: 3.5744 3.5744 33.7120 Å, 90.00 90.00 120.00°
Space group R-3m (No. 166, hexagonal axes)
One atom of each set of equivalent atoms:
Tb 0.0000 0.0000 0.2457 (multiplicity 6)
Nd 0.0000 0.0000 0.0000 (multiplicity 3)
Mg 0.0000 0.0000 0.5000 (multiplicity 3)



(7)
The following is a DFT calculation (GGA-PBE) of a relaxed La2Ti3O9 crystal.

## Properties
DFT total energy = -244.45 eV per cell
ΔE_f (raw) = -3147 meV/atom
E above lowest polymorph = 97 meV per atom

Cell: 6.945 7.770 8.746 Å, 89.88 69.56 88.62°
Space group P-1 (No. 2)
One atom of each set of equivalent atoms:
La 0.111 0.273 0.484 (multiplicity 2)
La 0.190 0.637 0.813 (multiplicity 2)
Ti 0.178 0.130 0.889 (multiplicity 2)
Ti 0.272 0.954 0.158 (multiplicity 2)
Ti 0.381 0.354 0.070 (multiplicity 2)
O 0.108 0.538 0.606 (multiplicity 2)
O 0.133 0.891 0.009 (multiplicity 2)
O 0.148 0.179 0.196 (multiplicity 2)
O 0.160 0.365 0.944 (multiplicity 2)
O 0.185 0.887 0.359 (multiplicity 2)
O 0.228 0.108 0.684 (multiplicity 2)
O 0.345 0.597 0.065 (multiplicity 2)
O 0.442 0.122 0.926 (multiplicity 2)
O 0.447 0.327 0.254 (multiplicity 2)



(8)
The following is a DFT calculation (GGA-PBE) of a relaxed LaCrMo2 crystal.

## Properties
DFT total energy = -68.21 eV per cell
E above lowest polymorph = 114 meV per atom
energy of formation from the pure elements = 527 meV per atom

Cell: 3.188 4.789 9.344 Å, 90.00 90.00 90.00°
Space group Cmm2 (No. 35)
One atom of each set of equivalent atoms:
La 0.000 0.000 0.000 (multiplicity 2)
Cr 0.000 0.500 0.275 (multiplicity 2)
Mo 0.000 0.000 0.476 (multiplicity 2)
Mo 0.000 0.500 0.704 (multiplicity 2)



(9)
The following is a DFT calculation (GGA-PBE) of a relaxed LaSi3Rh crystal.

## Properties
DFT total energy = -19.24 eV per cell
ΔE_f (raw) = 1862 meV/atom

Cell: 5.248 5.248 5.248 Å, 90.00 90.00 90.00°
Space group Pm-3m (No. 221)
One atom of each set of equivalent atoms:
La 0.000 0.000 0.000 (multiplicity 1)
Si 0.000 0.000 0.500 (multiplicity 3)
Rh 0.500 0.500 0.500 (multiplicity 1)



(10)
The following is a DFT calculation (GGA-PBE) of a relaxed LaSc3Pd crystal.

## Properties
DFT total energy = -24.32 eV per cell
E above lowest polymorph = 1153 meV per atom
energy of formation from the pure elements = 959 meV per atom

Cell: 5.088 5.088 5.088 Å, 90.00 90.00 90.00°
Space group Pm-3m (No. 221)
One atom of each set of equivalent atoms:
La 0.000 0.000 0.000 (multiplicity 1)
Sc 0.000 0.000 0.500 (multiplicity 3)
Pd 0.500 0.500 0.500 (multiplicity 1)



(11)
The following is a DFT calculation (GGA-PBE) of a relaxed TcGe3Ir crystal.

## Properties
DFT total energy = -134.59 eV per cell
E above lowest polymorph = 44 meV per atom
energy of formation from the pure elements = -114 meV per atom

Cell: 3.314 11.956 8.272 Å, 90.00 90.00 90.00°
Space group Cmcm (No. 63)
One atom of each set of equivalent atoms:
Tc 0.000 0.208 0.250 (multiplicity 4)
Ge 0.000 0.119 0.750 (multiplicity 4)
Ge 0.000 0.342 0.519 (multiplicity 8)
Ir 0.000 0.000 0.000 (multiplicity 4)



(12)
The following is a DFT calculation (GGA-PBE) of a relaxed PaBi2F11 crystal.

## Properties
DFT total energy = -319.59 eV per cell
ΔE_f (raw) = -3004 meV/atom

Cell: 8.382 10.681 11.271 Å, 90.00 90.00 90.00°
Space group Ibam (No. 72)
One atom of each set of equivalent atoms:
Pa 0.000 0.000 0.250 (multiplicity 4)
Bi 0.135 0.317 0.000 (multiplicity 8)
F 0.000 0.500 0.000 (multiplicity 4)
F 0.092 0.167 0.149 (multiplicity 16)
F 0.129 0.280 0.500 (multiplicity 8)
F 0.201 0.065 0.360 (multiplicity 16)



(13)
The following is a DFT calculation (GGA-PBE) of a relaxed Rb5Hg2 crystal.

## Properties
DFT total energy = -25.78 eV per cell
energy of formation from the pure elements = -144 meV per atom

Cell: 20.699 8.363 9.859 Å, 90.00 97.79 90.00°
Space group C2/c (No. 15)
One atom of each set of equivalent atoms:
Rb 0.000 0.089 0.250 (multiplicity 4)
Rb 0.090 0.381 0.926 (multiplicity 8)
Rb 0.220 0.083 0.317 (multiplicity 8)
Hg 0.110 0.204 0.582 (multiplicity 8)



(14)
The following is a DFT calculation (GGA-PBE) of a relaxed Cs12KHg6 crystal.

## Properties
DFT total energy = -32.30 eV per cell
energy of formation from the pure elements = -158 meV per atom

Cell: 13.953 13.953 13.953 Å, 90.00 90.00 90.00°
Space group Im-3 (No. 204)
One atom of each set of equivalent atoms:
Cs 0.000 0.311 0.184 (multiplicity 24)
K 0.000 0.000 0.000 (multiplicity 2)
Hg 0.000 0.109 0.500 (multiplicity 12)



(15)
The following is a DFT calculation (GGA-PBE) of a relaxed Tb4Pm5In crystal.

## Properties
DFT total energy = -45.02 eV per cell
E above lowest polymorph = 0 meV per atom
energy of formation from the pure elements = 0 meV per atom

Cell: 4.196 4.196 18.275 Å, 90.00 90.00 90.00°
Space group P4/mmm (No. 123)
One atom of each set of equivalent atoms:
Tb 0.000 0.000 0.102 (multiplicity 2)
Tb 0.000 0.000 0.305 (multiplicity 2)
Pm 0.500 0.500 0.000 (multiplicity 1)
Pm 0.500 0.500 0.204 (multiplicity 2)
Pm 0.500 0.500 0.410 (multiplicity 2)
In 0.000 0.000 0.500 (multiplicity 1)



(16)
The following is a DFT calculation (GGA-PBE) of a relaxed ZnGeB2F crystal.

## Properties
DFT total energy = -16.18 eV per cell
ΔE_f (raw) = 988 meV/atom

Cell: 4.034 4.034 5.185 Å, 90.00 90.00 90.00°
Space group P4/mmm (No. 123)
One atom of each set of equivalent atoms:
Zn 0.000 0.000 0.000 (multiplicity 1)
Ge 0.000 0.000 0.500 (multiplicity 1)
B 0.000 0.500 0.500 (multiplicity 2)
F 0.500 0.500 0.000 (multiplicity 1)



(17)
The following is a DFT calculation (GGA-PBE) of a relaxed Pr4CuOsI2 crystal.

## Properties
DFT total energy = -42.13 eV per cell
ΔE_f (raw) = -573 meV/atom

Cell: 7.290 4.276 8.556 Å, 90.00 106.77 90.00°
Space group P2/m (No. 10)
One atom of each set of equivalent atoms:
Pr 0.221 0.000 0.187 (multiplicity 2)
Pr 0.257 0.500 0.812 (multiplicity 2)
Cu 0.500 0.000 0.000 (multiplicity 1)
Os 0.000 0.500 0.000 (multiplicity 1)
I 0.000 0.000 0.500 (multiplicity 1)
I 0.500 0.500 0.500 (multiplicity 1)



(18)
The following is a DFT calculation (GGA-PBE) of a relaxed Ca2CoSeN crystal.

## Properties
DFT total energy = -28.00 eV per cell
ΔE_f (raw) = -1017 meV/atom
E above lowest polymorph = 0 meV per atom

Cell: 5.066 5.066 3.566 Å, 90.00 90.00 90.00°
Space group P4/mmm (No. 123)
One atom of each set of equivalent atoms:
Ca 0.000 0.500 0.000 (multiplicity 2)
Co 0.000 0.000 0.500 (multiplicity 1)
Se 0.500 0.500 0.500 (multiplicity 1)
N 0.000 0.000 0.000 (multiplicity 1)



(19)
The following is a DFT calculation (GGA-PBE) of a relaxed TlZnCr2 crystal.

## Properties
DFT total energy = -40.96 eV per cell
energy of formation from the pure elements = 602 meV per atom

Cell: 9.099 3.018 4.954 Å, 90.00 102.60 90.00°
Space group C2/m (No. 12)
One atom of each set of equivalent atoms:
Tl 0.000 0.000 0.000 (multiplicity 2)
Zn 0.000 0.500 0.500 (multiplicity 2)
Cr 0.246 0.000 0.659 (multiplicity 4)



(20)
The following is a DFT calculation (GGA-PBE) of a relaxed Nd4RuPt crystal.

## Properties
DFT total energy = -149.45 eV per cell
energy of formation from the pure elements = -496 meV per atom

Cell: 9.148 13.644 6.498 Å, 90.00 124.08 90.00°
Space group C2/c (No. 15)
One atom of each set of equivalent atoms:
Nd 0.129 0.178 0.099 (multiplicity 8)
Nd 0.202 0.436 0.278 (multiplicity 8)
Ru 0.000 0.004 0.750 (multiplicity 4)
Pt 0.000 0.364 0.750 (multiplicity 4)